[1]
# Er2Tl5Br12

Er2Tl5Br12 after structural relaxation (PBE, the Alexandria database).

a = 9.8826 Å, b = 9.8826 Å, c = 10.4022 Å
α = 107.45°, β = 107.45°, γ = 49.93°
Positions (direct):
Er 0.2480 0.7520 0.0000
Er 0.7520 0.2480 0.0000
Tl 0.1863 0.1863 0.8164
Tl 0.2165 0.2165 0.3746
Tl 0.5000 0.5000 0.5000
Tl 0.7835 0.7835 0.6254
Tl 0.8137 0.8137 0.1836
Br 0.0059 0.0059 0.1897
Br 0.0771 0.6009 0.9178
Br 0.1257 0.6128 0.4437
Br 0.3872 0.8743 0.5563
Br 0.3991 0.9229 0.0822
Br 0.4965 0.4965 0.8172
Br 0.5035 0.5035 0.1828
Br 0.6009 0.0771 0.9178
Br 0.6128 0.1257 0.4437
Br 0.8743 0.3872 0.5563
Br 0.9229 0.3991 0.0822
Br 0.9941 0.9941 0.8103

Computed properties:
DFT total energy, eV for the cell shown: -64.12
Raw formation energy, eV per atom: -1.215
Spin magnetization, μB/f.u.: 0.00

---

[2]
# Zr4Sc

Zr4Sc after structural relaxation (PBE, the Alexandria database).

a = 5.0122 Å, b = 5.0122 Å, c = 5.0122 Å
α = 90.00°, β = 90.00°, γ = 90.00°
Positions (direct):
Zr 0.0000 0.0000 0.0000
Zr 0.0000 0.5000 0.5000
Zr 0.5000 0.0000 0.5000
Zr 0.5000 0.5000 0.0000
Sc 0.5000 0.5000 0.5000

Computed properties:
DFT total energy, eV for the cell shown: -35.44
DFT formation energy, eV per atom: 1.02
Spin magnetization, μB/f.u.: 0.00

---

[3]
# Nb2FeSn2

Nb2FeSn2 after structural relaxation (PBE, the Alexandria database).

a = 6.5626 Å, b = 6.5626 Å, c = 4.3938 Å
α = 90.00°, β = 90.00°, γ = 90.00°
Positions (direct):
Nb 0.1526 0.3474 0.0000
Nb 0.3474 0.8474 0.0000
Nb 0.6526 0.1526 0.0000
Nb 0.8474 0.6526 0.0000
Fe 0.0000 0.0000 0.5000
Fe 0.5000 0.5000 0.5000
Sn 0.1535 0.6535 0.5000
Sn 0.3465 0.1535 0.5000
Sn 0.6535 0.8465 0.5000
Sn 0.8465 0.3465 0.5000

Computed properties:
DFT total energy, eV for the cell shown: -70.67
DFT formation energy, eV per atom: 0.25
Spin magnetization, μB/f.u.: 0.00

---

[4]
# Mn2NiRu

Mn2NiRu after structural relaxation (PBE, the Alexandria database).

a = 2.6154 Å, b = 3.6326 Å, c = 5.1865 Å
α = 90.00°, β = 90.00°, γ = 90.00°
Positions (direct):
Mn 0.0000 0.0000 0.0000
Mn 0.5000 0.5000 0.2573
Ni 0.0000 0.0000 0.4965
Ru 0.5000 0.5000 0.7530

Computed properties:
DFT total energy, eV for the cell shown: -33.28
DFT formation energy, eV per atom: 0.03
Spin magnetization, μB/f.u.: 1.38

---

[5]
# HgAuI3

HgAuI3 after structural relaxation (PBE, the Alexandria database).

a = 5.6884 Å, b = 5.6884 Å, c = 5.6884 Å
α = 90.00°, β = 90.00°, γ = 90.00°
Positions (direct):
Hg 0.0000 0.0000 0.0000
Au 0.5000 0.5000 0.5000
I 0.0000 0.5000 0.5000
I 0.5000 0.0000 0.5000
I 0.5000 0.5000 0.0000

Computed properties:
DFT total energy, eV for the cell shown: -7.62
Raw formation energy, eV per atom: 0.121
Spin magnetization, μB/f.u.: 0.00

---

[6]
# LaTe2Mo

LaTe2Mo after structural relaxation (PBE, the Alexandria database).

a = 5.1800 Å, b = 5.1800 Å, c = 5.1800 Å
α = 60.00°, β = 60.00°, γ = 60.00°
Positions (direct):
La 0.0000 0.0000 0.0000
Te 0.2500 0.2500 0.2500
Te 0.7500 0.7500 0.7500
Mo 0.5000 0.5000 0.5000

Computed properties:
DFT total energy, eV for the cell shown: -23.37
Raw formation energy, eV per atom: -0.333
Spin magnetization, μB/f.u.: 1.00

---

Q: Which of these has the highest DFT total energy?
A: HgAuI3